## one
Material: CuIrRh2
Method: DFT, GGA-PBEsol
State: relaxed

Cell lengths 2.684, 2.684, 7.314 Å; angles 90.00, 90.00, 90.00 degrees
Atoms (fractional coordinates):
Ir 0.500 0.500 0.747
Rh 0.000 0.000 0.000
Rh 0.500 0.500 0.254
Cu 0.000 0.000 0.499

- theoretical density (g cm⁻³) = 14.54
- D(E_F) (states/eV/cell) = 3.43

***

## two
Material: CuIrRh2
Method: DFT, GGA-PBEsol
State: relaxed

Cell lengths 2.675, 2.675, 8.682 Å; angles 81.14, 81.14, 60.00 degrees
Atoms (fractional coordinates):
Ir 0.000 0.000 0.000
Rh 0.248 0.248 0.255
Rh 0.752 0.752 0.745
Cu 0.500 0.500 0.500

- theoretical density (g cm⁻³) = 14.48
- D(E_F) (states/eV/cell) = 3.86

***

Result of the stability comparison: one is the least stable of them.

***

## one
Material: Cu2IrRh
Method: DFT, GGA-PBEsol
State: relaxed

Cell lengths 2.640, 4.478, 4.592 Å; angles 99.73, 90.00, 107.14 degrees
Atoms (fractional coordinates):
Ir 0.000 0.000 0.500
Rh 0.500 0.000 0.000
Cu 0.749 0.499 0.750
Cu 0.251 0.501 0.250

- theoretical density (g cm⁻³) = 13.73
- D(E_F) (states/eV/cell) = 5.23

***

## two
Material: Cu2IrRh
Method: DFT, GGA-PBEsol
State: relaxed

Cell lengths 2.660, 4.351, 4.485 Å; angles 90.00, 90.00, 90.00 degrees
Atoms (fractional coordinates):
Cu 0.000 0.000 0.000
Cu 0.500 0.000 0.500
Ir 0.500 0.500 0.000
Rh 0.000 0.500 0.500

- theoretical density (g cm⁻³) = 13.50
- D(E_F) (states/eV/cell) = 4.82

***

## three
Material: Cu2IrRh
Method: DFT, GGA-PBEsol
State: relaxed

Cell lengths 2.646, 2.646, 8.576 Å; angles 81.13, 81.13, 60.00 degrees
Atoms (fractional coordinates):
Ir 0.500 0.500 0.500
Rh 0.000 0.000 0.000
Cu 0.251 0.251 0.248
Cu 0.749 0.749 0.752

- theoretical density (g cm⁻³) = 13.71
- D(E_F) (states/eV/cell) = 5.72

***

## four
Material: Cu2IrRh
Method: DFT, GGA-PBEsol
State: relaxed

Cell lengths 2.687, 2.687, 7.014 Å; angles 90.00, 90.00, 90.00 degrees
Atoms (fractional coordinates):
Ir 0.000 0.000 0.497
Rh 0.500 0.500 0.755
Cu 0.000 0.000 0.011
Cu 0.500 0.500 0.238

- theoretical density (g cm⁻³) = 13.85
- D(E_F) (states/eV/cell) = 3.40

***

Result of the stability comparison: two is the least stable of them.

***

## one
Material: CuIr2Ru
Method: DFT, GGA-PBEsol
State: relaxed

Cell lengths 2.695, 2.695, 7.309 Å; angles 90.00, 90.00, 90.00 degrees
Atoms (fractional coordinates):
Ru 0.500 0.500 0.000
Ir 0.000 0.000 0.749
Ir 0.000 0.000 0.251
Cu 0.500 0.500 0.500

- theoretical density (g cm⁻³) = 17.17
- D(E_F) (states/eV/cell) = 3.10

***

## two
Material: CuIr2Ru
Method: DFT, GGA-PBEsol
State: relaxed

Cell lengths 3.732, 3.790, 3.790 Å; angles 90.00, 90.00, 90.00 degrees
Atoms (fractional coordinates):
Cu 0.500 0.000 0.000
Ir 0.000 0.000 0.500
Ir 0.000 0.500 0.000
Ru 0.500 0.500 0.500

- theoretical density (g cm⁻³) = 17.01
- D(E_F) (states/eV/cell) = 6.34

***

Result of the stability comparison: two is the least stable of them.

***

## one
Material: CuIr2Ru
Method: DFT, GGA-PBEsol
State: relaxed

Cell lengths 2.685, 2.685, 8.691 Å; angles 81.17, 81.17, 59.98 degrees
Atoms (fractional coordinates):
Ru 0.500 0.500 0.500
Ir 0.250 0.250 0.249
Ir 0.750 0.750 0.751
Cu 0.000 0.000 0.000

- theoretical density (g cm⁻³) = 17.07
- D(E_F) (states/eV/cell) = 3.26

***

## two
Material: CuIr2Ru
Method: DFT, GGA-PBEsol
State: relaxed

Cell lengths 2.692, 3.720, 5.302 Å; angles 90.00, 90.00, 90.00 degrees
Atoms (fractional coordinates):
Ru 0.500 0.500 0.000
Ir 0.000 0.000 0.747
Ir 0.000 0.000 0.253
Cu 0.500 0.500 0.500

- theoretical density (g cm⁻³) = 17.17
- D(E_F) (states/eV/cell) = 3.52

***

## three
Material: CuIr2Ru
Method: DFT, GGA-PBEsol
State: relaxed

Cell lengths 3.722, 3.722, 4.654 Å; angles 113.57, 113.57, 90.00 degrees
Atoms (fractional coordinates):
Cu 0.250 0.750 0.500
Ir 0.000 0.000 0.000
Ir 0.750 0.250 0.500
Ru 0.500 0.500 0.000

- theoretical density (g cm⁻³) = 17.14
- D(E_F) (states/eV/cell) = 4.34

***

## four
Material: CuIr2Ru
Method: DFT, GGA-PBEsol
State: relaxed

Cell lengths 2.704, 4.482, 4.482 Å; angles 90.00, 90.00, 90.00 degrees
Atoms (fractional coordinates):
Cu 0.500 0.000 0.000
Ir 0.000 0.000 0.500
Ir 0.000 0.500 0.000
Ru 0.500 0.500 0.500

- theoretical density (g cm⁻³) = 16.78
- D(E_F) (states/eV/cell) = 6.48

***

Result of the stability comparison: four is the least stable of them.

***

## one
Material: CuSiIr
Method: DFT, GGA-PBEsol
State: relaxed

Cell lengths 3.897, 3.897, 3.897 Å; angles 60.00, 60.00, 60.00 degrees
Atoms (fractional coordinates):
Cu 0.000 0.000 0.000
Ir 0.500 0.500 0.500
Si 0.250 0.250 0.250

- theoretical density (g cm⁻³) = 11.26
- D(E_F) (states/eV/cell) = 1.31

***

## two
Material: CuSiIr
Method: DFT, GGA-PBEsol
State: relaxed

Cell lengths 2.737, 2.737, 6.238 Å; angles 96.49, 96.49, 118.97 degrees
Atoms (fractional coordinates):
Cu 0.009 0.009 0.017
Ir 0.325 0.325 0.650
Si 0.667 0.667 0.333

- theoretical density (g cm⁻³) = 11.83
- D(E_F) (states/eV/cell) = 2.21

***

Result of the stability comparison: two is the least stable of them.

***

## one
Material: TaCuIr2
Method: DFT, GGA-PBEsol
State: relaxed

Cell lengths 3.968, 4.584, 3.968 Å; angles 64.35, 90.00, 115.65 degrees
Atoms (fractional coordinates):
Ir 0.250 0.500 0.250
Ir 0.750 0.500 0.750
Cu 0.500 0.000 0.500
Ta 0.000 0.000 0.000

- theoretical density (g cm⁻³) = 18.29
- D(E_F) (states/eV/cell) = 2.43

***

## two
Material: TaCuIr2
Method: DFT, GGA-PBEsol
State: relaxed

Cell lengths 3.598, 3.972, 3.972 Å; angles 90.00, 90.00, 90.00 degrees
Atoms (fractional coordinates):
Ir 0.000 0.000 0.500
Ir 0.000 0.500 0.000
Cu 0.500 0.000 0.000
Ta 0.500 0.500 0.500

- theoretical density (g cm⁻³) = 18.40
- D(E_F) (states/eV/cell) = 0.59

***

## three
Material: TaCuIr2
Method: DFT, GGA-PBEsol
State: relaxed

Cell lengths 2.946, 3.466, 5.609 Å; angles 90.00, 90.00, 90.00 degrees
Atoms (fractional coordinates):
Ir 0.000 0.000 0.739
Ir 0.000 0.000 0.261
Cu 0.500 0.500 0.500
Ta 0.500 0.500 0.000

- theoretical density (g cm⁻³) = 18.23
- D(E_F) (states/eV/cell) = 1.56

***

Result of the stability comparison: three is the least stable of them.

***

## one
Material: CuTcIr2
Method: DFT, GGA-PBEsol
State: relaxed

Cell lengths 2.722, 2.722, 7.237 Å; angles 90.00, 90.00, 90.00 degrees
Atoms (fractional coordinates):
Ir 0.000 0.000 0.749
Ir 0.000 0.000 0.251
Tc 0.500 0.500 0.000
Cu 0.500 0.500 0.500

- theoretical density (g cm⁻³) = 16.91
- D(E_F) (states/eV/cell) = 3.27

***

## two
Material: CuTcIr2
Method: DFT, GGA-PBEsol
State: relaxed

Cell lengths 2.772, 4.434, 5.098 Å; angles 115.78, 105.78, 90.00 degrees
Atoms (fractional coordinates):
Cu 0.000 0.500 0.000
Ir 0.735 0.735 0.469
Ir 0.265 0.265 0.531
Tc 0.500 0.000 0.000

- theoretical density (g cm⁻³) = 16.85
- D(E_F) (states/eV/cell) = 3.00

***

Result of the stability comparison: two is the least stable of them.

***

## one
Material: TlCu2Ir
Method: DFT, GGA-PBEsol
State: relaxed

Cell lengths 2.864, 2.864, 8.780 Å; angles 80.61, 80.61, 60.00 degrees
Atoms (fractional coordinates):
Cu 0.244 0.244 0.269
Cu 0.756 0.756 0.731
Ir 0.500 0.500 0.500
Tl 0.000 0.000 0.000

- theoretical density (g cm⁻³) = 14.19
- D(E_F) (states/eV/cell) = 3.60

***

## two
Material: TlCu2Ir
Method: DFT, GGA-PBEsol
State: relaxed

Cell lengths 3.029, 3.029, 6.407 Å; angles 90.00, 90.00, 90.00 degrees
Atoms (fractional coordinates):
Cu 0.000 0.000 0.045
Cu 0.500 0.500 0.236
Ir 0.000 0.000 0.463
Tl 0.500 0.500 0.756

- theoretical density (g cm⁻³) = 14.79
- D(E_F) (states/eV/cell) = 2.17

***

Result of the stability comparison: one is the least stable of them.

***

## one
Material: Cu2IrW
Method: DFT, GGA-PBEsol
State: relaxed

Cell lengths 2.959, 4.246, 4.871 Å; angles 115.84, 107.68, 90.00 degrees
Atoms (fractional coordinates):
Cu 0.015 0.015 0.030
Cu 0.736 0.236 0.472
Ir 0.490 0.490 0.980
W 0.259 0.759 0.518

- theoretical density (g cm⁻³) = 16.11
- D(E_F) (states/eV/cell) = 2.40

***

## two
Material: Cu2IrW
Method: DFT, GGA-PBEsol
State: relaxed

Cell lengths 2.710, 3.771, 5.236 Å; angles 90.00, 90.05, 90.00 degrees
Atoms (fractional coordinates):
Cu 0.000 0.000 0.018
Cu 0.500 0.500 0.232
Ir 0.000 0.000 0.510
W 0.500 0.500 0.740

- theoretical density (g cm⁻³) = 15.61
- D(E_F) (states/eV/cell) = 2.88

***

Result of the stability comparison: one is the least stable of them.

***

## one
Material: K2MnCu
Method: DFT, GGA-PBEsol
State: relaxed

Cell lengths 3.329, 3.329, 11.268 Å; angles 81.50, 81.50, 60.00 degrees
Atoms (fractional coordinates):
Cu 0.000 0.000 0.000
K 0.257 0.257 0.228
K 0.743 0.743 0.772
Mn 0.500 0.500 0.500

- theoretical density (g cm⁻³) = 3.06
- D(E_F) (states/eV/cell) = 2.93

***

## two
Material: K2MnCu
Method: DFT, GGA-PBEsol
State: relaxed

Cell lengths 5.306, 5.307, 5.306 Å; angles 120.00, 90.00, 120.00 degrees
Atoms (fractional coordinates):
Cu 0.250 0.500 0.750
K 0.000 0.000 0.000
K 0.750 0.500 0.250
Mn 0.500 0.000 0.500

- theoretical density (g cm⁻³) = 3.09
- D(E_F) (states/eV/cell) = 3.67

***

Result of the stability comparison: one is the least stable of them.

***

## one
Material: K2MnCu
Method: DFT, GGA-PBEsol
State: relaxed

Cell lengths 3.475, 3.475, 9.963 Å; angles 90.00, 90.00, 90.00 degrees
Atoms (fractional coordinates):
Cu 0.500 0.500 0.656
K 0.000 0.000 0.915
K 0.500 0.500 0.328
Mn 0.000 0.000 0.600

- theoretical density (g cm⁻³) = 2.71
- D(E_F) (states/eV/cell) = 2.41

***

## two
Material: K2MnCu
Method: DFT, GGA-PBEsol
State: relaxed

Cell lengths 4.606, 4.606, 6.144 Å; angles 112.01, 112.01, 90.00 degrees
Atoms (fractional coordinates):
Cu 0.000 0.000 0.000
K 0.750 0.250 0.500
K 0.250 0.750 0.500
Mn 0.500 0.500 0.000

- theoretical density (g cm⁻³) = 2.96
- D(E_F) (states/eV/cell) = 3.44

***

Result of the stability comparison: two is the least stable of them.

***

## one
Material: KNbCu3
Method: DFT, GGA-PBEsol
State: relaxed

Cell lengths 4.886, 4.886, 4.886 Å; angles 90.00, 90.00, 90.00 degrees
Atoms (fractional coordinates):
Nb 0.000 0.000 0.000
K 0.500 0.500 0.500
Cu 0.000 0.500 0.000
Cu 0.000 0.000 0.500
Cu 0.500 0.000 0.000

- theoretical density (g cm⁻³) = 4.59
- D(E_F) (states/eV/cell) = 4.49

***

## two
Material: KNbCu3
Method: DFT, GGA-PBEsol
State: relaxed

Cell lengths 4.576, 4.576, 4.576 Å; angles 90.00, 90.00, 90.00 degrees
Atoms (fractional coordinates):
Nb 0.500 0.500 0.500
K 0.000 0.000 0.000
Cu 0.000 0.500 0.000
Cu 0.000 0.000 0.500
Cu 0.500 0.000 0.000

- theoretical density (g cm⁻³) = 5.59
- D(E_F) (states/eV/cell) = 2.88

***

Result of the stability comparison: two is the least stable of them.